(1)
A relaxed structure of LiBPd2Pt. Source: Alexandria, functional PBE-GGA.

Output
energy = -27.0 eV for the cell shown
calculated formation energy = -0.401 eV per atom

a = 4.1793 Å, b = 4.1793 Å, c = 4.1233 Å
α = 90.00°, β = 90.00°, γ = 90.00°
Fractional coordinates of all 5 atoms:
1 Li 0.0000 0.0000 0.0000
2 B 0.5000 0.5000 0.5000
3 Pd 0.0000 0.5000 0.5000
4 Pd 0.5000 0.0000 0.5000
5 Pt 0.5000 0.5000 0.0000

=====

(2)
A relaxed structure of TbPm2Nd5. Source: Alexandria, functional PBE-GGA.

Output
ΔE to the lowest computed polymorph = 2.36 eV/f.u.
energy = -71.0 eV for the cell shown
calculated formation energy = 0.309 eV per atom

a = 11.7356 Å, b = 11.7356 Å, c = 6.5452 Å
α = 97.68°, β = 97.68°, γ = 136.01°
Fractional coordinates of all 16 atoms:
1 Tb 0.0015 0.9985 0.7500
2 Tb 0.9985 0.0015 0.2500
3 Pm 0.0000 0.5000 0.0000
4 Pm 0.5000 0.0000 0.5000
5 Pm 0.5000 0.5000 0.0000
6 Pm 0.5000 0.5000 0.5000
7 Nd 0.0492 0.7317 0.4707
8 Nd 0.1741 0.3938 0.1416
9 Nd 0.2683 0.9508 0.0293
10 Nd 0.3375 0.6625 0.7500
11 Nd 0.3938 0.1741 0.6416
12 Nd 0.6062 0.8259 0.3584
13 Nd 0.6625 0.3375 0.2500
14 Nd 0.7317 0.0492 0.9707
15 Nd 0.8259 0.6062 0.8584
16 Nd 0.9508 0.2683 0.5293

=====

(3)
A relaxed structure of RbTi3Ag. Source: Alexandria, functional PBE-GGA.

Output
ΔE to the lowest computed polymorph = 0.00 eV/f.u.
energy = -21.1 eV for the cell shown
calculated formation energy = 1.286 eV per atom

a = 5.1099 Å, b = 5.1099 Å, c = 5.1099 Å
α = 90.00°, β = 90.00°, γ = 90.00°
Fractional coordinates of all 5 atoms:
1 Rb 0.0000 0.0000 0.0000
2 Ti 0.0000 0.5000 0.5000
3 Ti 0.5000 0.0000 0.5000
4 Ti 0.5000 0.5000 0.0000
5 Ag 0.5000 0.5000 0.5000

=====

(4)
A relaxed structure of PmErSi4. Source: Alexandria, functional PBE-GGA.

Output
ΔE to the lowest computed polymorph = 0.00 eV/f.u.
energy = -134.7 eV for the cell shown

a = 8.2809 Å, b = 14.5963 Å, c = 4.0809 Å
α = 90.00°, β = 90.00°, γ = 90.00°
Fractional coordinates of all 24 atoms:
1 Pm 0.1136 0.1362 0.0000
2 Pm 0.3864 0.6362 0.0000
3 Pm 0.6136 0.3638 0.0000
4 Pm 0.8864 0.8638 0.0000
5 Er 0.1406 0.4125 0.0000
6 Er 0.3594 0.9125 0.0000
7 Er 0.6406 0.0875 0.0000
8 Er 0.8594 0.5875 0.0000
9 Si 0.0282 0.2927 0.5000
10 Si 0.1216 0.5599 0.5000
11 Si 0.1272 0.9652 0.5000
12 Si 0.1882 0.8049 0.5000
13 Si 0.3118 0.3049 0.5000
14 Si 0.3728 0.4652 0.5000
15 Si 0.3784 0.0599 0.5000
16 Si 0.4718 0.7927 0.5000
17 Si 0.5282 0.2073 0.5000
18 Si 0.6216 0.9401 0.5000
19 Si 0.6272 0.5348 0.5000
20 Si 0.6882 0.6951 0.5000
21 Si 0.8118 0.1951 0.5000
22 Si 0.8728 0.0348 0.5000
23 Si 0.8784 0.4401 0.5000
24 Si 0.9718 0.7073 0.5000

=====

(5)
A relaxed structure of AgSeS. Source: Alexandria, functional PBE-GGA.

Output
ΔE to the lowest computed polymorph = 0.16 eV/f.u.
energy = -20.7 eV for the cell shown

a = 4.6193 Å, b = 5.2560 Å, c = 6.9708 Å
α = 91.61°, β = 103.39°, γ = 107.43°
Fractional coordinates of all 6 atoms:
1 Ag 0.0000 0.0000 0.0000
2 Ag 0.1092 0.7931 0.6054
3 Se 0.5466 0.1753 0.8478
4 Se 0.7414 0.1233 0.3713
5 S 0.2820 0.8022 0.2653
6 S 0.6364 0.3999 0.5796

=====

(6)
A relaxed structure of MgGaAu5. Source: Alexandria, functional PBE-GGA.

Output
ΔE to the lowest computed polymorph = 0.00 eV/f.u.
energy = -23.0 eV for the cell shown
calculated formation energy = -0.286 eV per atom

a = 4.2423 Å, b = 4.2423 Å, c = 7.2064 Å
α = 90.00°, β = 90.00°, γ = 90.00°
Fractional coordinates of all 7 atoms:
1 Mg 0.0000 0.0000 0.0000
2 Ga 0.5000 0.5000 0.5000
3 Au 0.0000 0.5000 0.2798
4 Au 0.0000 0.5000 0.7202
5 Au 0.5000 0.0000 0.2798
6 Au 0.5000 0.0000 0.7202
7 Au 0.5000 0.5000 0.0000

=====

(7)
A relaxed structure of Cu3SbSe4. Source: Alexandria, functional PBE-GGA.

Output
ΔE to the lowest computed polymorph = 0.84 eV/f.u.
energy = -31.0 eV for the cell shown

a = 13.8337 Å, b = 13.8337 Å, c = 13.8337 Å
α = 16.52°, β = 16.52°, γ = 16.52°
Fractional coordinates of all 8 atoms:
1 Cu 0.0000 0.0000 0.0000
2 Cu 0.2579 0.2579 0.2579
3 Cu 0.7394 0.7394 0.7394
4 Sb 0.5077 0.5077 0.5077
5 Se 0.0591 0.0591 0.0591
6 Se 0.3162 0.3162 0.3162
7 Se 0.5754 0.5754 0.5754
8 Se 0.7992 0.7992 0.7992

=====

(8)
A relaxed structure of RbPuTl3. Source: Alexandria, functional PBE-GGA.

Output
energy = -20.7 eV for the cell shown
calculated formation energy = 0.345 eV per atom

a = 6.1124 Å, b = 6.1124 Å, c = 6.1124 Å
α = 90.00°, β = 90.00°, γ = 90.00°
Fractional coordinates of all 5 atoms:
1 Rb 0.0000 0.0000 0.0000
2 Pu 0.5000 0.5000 0.5000
3 Tl 0.0000 0.5000 0.5000
4 Tl 0.5000 0.0000 0.5000
5 Tl 0.5000 0.5000 0.0000

=====

(9)
A relaxed structure of ZrCuMoN2. Source: Alexandria, functional PBE-GGA.

Output
ΔE to the lowest computed polymorph = 0.00 eV/f.u.
energy = -38.2 eV for the cell shown

a = 3.9243 Å, b = 3.9243 Å, c = 4.7098 Å
α = 90.00°, β = 90.00°, γ = 90.00°
Fractional coordinates of all 5 atoms:
1 Zr 0.0000 0.0000 0.0000
2 Cu 0.5000 0.5000 0.0000
3 Mo 0.5000 0.5000 0.5000
4 N 0.0000 0.5000 0.5000
5 N 0.5000 0.0000 0.5000

=====

(10)
A relaxed structure of Tb2TmIr2. Source: Alexandria, functional PBE-GGA.

Output
ΔE to the lowest computed polymorph = 0.00 eV/f.u.
energy = -70.4 eV for the cell shown
calculated formation energy = -0.748 eV per atom

a = 5.9971 Å, b = 5.9971 Å, c = 8.1826 Å
α = 105.72°, β = 105.72°, γ = 55.86°
Fractional coordinates of all 10 atoms:
1 Tb 0.0045 0.6992 0.8491
2 Tb 0.3008 0.9955 0.6509
3 Tb 0.6992 0.0045 0.3491
4 Tb 0.9955 0.3008 0.1509
5 Tm 0.3544 0.6456 0.2500
6 Tm 0.6456 0.3544 0.7500
7 Ir 0.2090 0.5113 0.4934
8 Ir 0.4887 0.7910 0.0066
9 Ir 0.5113 0.2090 0.9934
10 Ir 0.7910 0.4887 0.5066

=====

(11)
A relaxed structure of NaIn3Hg7. Source: Alexandria, functional PBE-GGA.

Output
ΔE to the lowest computed polymorph = 0.00 eV/f.u.
energy = -12.0 eV for the cell shown
calculated formation energy = -0.034 eV per atom

a = 6.8243 Å, b = 6.8243 Å, c = 7.1089 Å
α = 96.33°, β = 96.33°, γ = 106.26°
Fractional coordinates of all 11 atoms:
1 Na 0.0000 0.0000 0.0000
2 In 0.2707 0.7293 0.5000
3 In 0.5000 0.5000 0.0000
4 In 0.7293 0.2707 0.5000
5 Hg 0.0000 0.0000 0.5000
6 Hg 0.0841 0.5130 0.8162
7 Hg 0.3124 0.3124 0.3339
8 Hg 0.4870 0.9159 0.1838
9 Hg 0.5130 0.0841 0.8162
10 Hg 0.6876 0.6876 0.6661
11 Hg 0.9159 0.4870 0.1838

=====

(12)
A relaxed structure of RbTlZnGeSe. Source: Alexandria, functional PBE-GGA.

Output
ΔE to the lowest computed polymorph = 0.05 eV/f.u.
energy = -14.3 eV for the cell shown

a = 4.4729 Å, b = 3.9313 Å, c = 8.8505 Å
α = 90.00°, β = 94.42°, γ = 90.00°
Fractional coordinates of all 5 atoms:
1 Rb 0.0000 0.0000 0.0000
2 Tl 0.0490 0.5000 0.4097
3 Zn 0.5110 0.0000 0.6401
4 Ge 0.5490 0.0000 0.3618
5 Se 0.4600 0.5000 0.8007

=====

Q: Among the records above, which one has the lowest energy?
A: PmErSi4